Entry 1:
# Ac2ZnSb3Rh4 | Alexandria | PBE | optimized geometry
# * uncorrected formation energy: -8.07 eV per formula unit
# * energy: -5.93 eV per atom
data_Ac2ZnSb3Rh4
_chemical_formula_sum 'Ac2 Zn1 Sb3 Rh4'
_space_group_name_H-M_alt 'P -4 m 2'
_space_group_IT_number 115
_cell_length_a 4.542
_cell_length_b 4.542
_cell_length_c 10.707
_cell_angle_alpha 90.00
_cell_angle_beta 90.00
_cell_angle_gamma 90.00
loop_
_space_group_symop_operation_xyz
'x,y,z'
'y,-x,-z'
'-x,-y,z'
'-y,x,-z'
'-x,y,z'
'-y,-x,-z'
'x,-y,z'
'y,x,-z'
loop_
_atom_site_label
_atom_site_type_symbol
_atom_site_fract_x
_atom_site_fract_y
_atom_site_fract_z
Ac1 Ac 0.000 0.500 0.245
Zn1 Zn 0.500 0.500 0.000
Sb1 Sb 0.000 0.000 0.000
Sb2 Sb 0.000 0.500 0.631
Rh1 Rh 0.000 0.000 0.500
Rh2 Rh 0.000 0.500 0.876
Rh3 Rh 0.500 0.500 0.500



Entry 2:
# Ac2ZnSbRh6 | Alexandria | PBE | optimized geometry
# * uncorrected formation energy: -1.62 eV per formula unit
# * energy: -5.93 eV per atom
data_Ac2ZnSbRh6
_chemical_formula_sum 'Ac8 Zn4 Sb4 Rh24'
_space_group_name_H-M_alt 'F m -3 m'
_space_group_IT_number 225
_space_group_name_Hall '-F 4 2 3'
_cell_length_a 9.551
_cell_length_b 9.551
_cell_length_c 9.551
_cell_angle_alpha 90.00
_cell_angle_beta 90.00
_cell_angle_gamma 90.00
loop_
_atom_site_label
_atom_site_type_symbol
_atom_site_fract_x
_atom_site_fract_y
_atom_site_fract_z
Ac1 Ac 0.250 0.250 0.250
Zn1 Zn 0.000 0.000 0.000
Sb1 Sb 0.000 0.000 0.500
Rh1 Rh 0.000 0.000 0.245



Q: The lowest uncorrected formation energy belongs to which entry?
A: Ac2ZnSb3Rh4